1.
# PBE CrTc2P2, relaxed
data_CrTc2P2
_space_group_name_H-M_alt 'P 1'
_space_group_IT_number 1
_space_group_name_Hall 'P 1'
_cell_length_a 6.790
_cell_length_b 6.790
_cell_length_c 2.915
_cell_angle_alpha 90.00
_cell_angle_beta 90.00
_cell_angle_gamma 90.00
loop_
_atom_site_label
_atom_site_fract_x
_atom_site_fract_y
_atom_site_fract_z
Cr1 0.000 0.000 0.000
Cr2 0.500 0.500 0.000
Tc1 0.148 0.352 0.500
Tc2 0.352 0.852 0.500
Tc3 0.648 0.148 0.500
Tc4 0.852 0.648 0.500
P1 0.152 0.652 0.000
P2 0.348 0.152 0.000
P3 0.652 0.848 0.000
P4 0.848 0.348 0.000
# * E_form: -0.95 eV/f.u.
# * calculated total energy: -84.26 eV per cell
# * volume: 13.4 A^3/atom


2.
# PBE CrTc2P, relaxed
data_CrTc2P
_space_group_name_H-M_alt 'P 1'
_space_group_IT_number 1
_space_group_name_Hall 'P 1'
_cell_length_a 2.930
_cell_length_b 2.930
_cell_length_c 6.082
_cell_angle_alpha 90.00
_cell_angle_beta 90.00
_cell_angle_gamma 90.00
loop_
_atom_site_label
_atom_site_fract_x
_atom_site_fract_y
_atom_site_fract_z
Cr1 0.000 0.000 0.000
Tc1 0.500 0.500 0.264
Tc2 0.500 0.500 0.736
P1 0.000 0.000 0.500
# * E_form: -0.78 eV/f.u.
# * calculated total energy: -36.55 eV per cell
# * volume: 13.1 A^3/atom


3.
# PBE CrTcP2, relaxed
data_CrTcP2
_space_group_name_H-M_alt 'P 1'
_space_group_IT_number 1
_space_group_name_Hall 'P 1'
_cell_length_a 4.637
_cell_length_b 4.637
_cell_length_c 4.637
_cell_angle_alpha 142.57
_cell_angle_beta 117.22
_cell_angle_gamma 75.43
loop_
_atom_site_label
_atom_site_fract_x
_atom_site_fract_y
_atom_site_fract_z
Cr1 0.000 0.000 0.000
Tc1 0.500 0.500 0.000
P1 0.240 0.740 0.500
P2 0.760 0.260 0.500
# * excess energy over the best structure of this formula in the dataset: 13.51 kcal/mol of atoms
# * E_form: 0.31 eV/f.u.
# * calculated total energy: -30.50 eV per cell
# * volume: 13.2 A^3/atom


4.
# PBE CrTcP2, relaxed
data_CrTcP2
_space_group_name_H-M_alt 'P 1'
_space_group_IT_number 1
_space_group_name_Hall 'P 1'
_cell_length_a 7.336
_cell_length_b 7.336
_cell_length_c 7.336
_cell_angle_alpha 22.62
_cell_angle_beta 22.62
_cell_angle_gamma 22.62
loop_
_atom_site_label
_atom_site_fract_x
_atom_site_fract_y
_atom_site_fract_z
Cr1 0.000 0.000 0.000
Tc1 0.500 0.500 0.500
P1 0.254 0.254 0.254
P2 0.746 0.746 0.746
# * excess energy over the best structure of this formula in the dataset: 8.42 kcal/mol of atoms
# * E_form: -0.58 eV/f.u.
# * calculated total energy: -31.39 eV per cell
# * volume: 12.8 A^3/atom


5.
# PBE CrTc2P, relaxed
data_CrTc2P
_space_group_name_H-M_alt 'P 1'
_space_group_IT_number 1
_space_group_name_Hall 'P 1'
_cell_length_a 2.753
_cell_length_b 2.753
_cell_length_c 7.916
_cell_angle_alpha 90.00
_cell_angle_beta 90.00
_cell_angle_gamma 115.12
loop_
_atom_site_label
_atom_site_fract_x
_atom_site_fract_y
_atom_site_fract_z
Cr1 0.000 0.000 0.000
Tc1 0.500 0.500 0.264
Tc2 0.500 0.500 0.736
P1 0.000 0.000 0.500
# * E_form: 0.87 eV/f.u.
# * calculated total energy: -34.89 eV per cell
# * volume: 13.6 A^3/atom


6.
# PBE CrTcP2, relaxed
data_CrTcP2
_space_group_name_H-M_alt 'P 1'
_space_group_IT_number 1
_space_group_name_Hall 'P 1'
_cell_length_a 4.359
_cell_length_b 4.359
_cell_length_c 4.270
_cell_angle_alpha 104.82
_cell_angle_beta 104.82
_cell_angle_gamma 39.96
loop_
_atom_site_label
_atom_site_fract_x
_atom_site_fract_y
_atom_site_fract_z
Cr1 0.000 0.000 0.000
Tc1 0.769 0.769 0.398
P1 0.265 0.265 0.892
P2 0.509 0.509 0.549
# * excess energy over the best structure of this formula in the dataset: 3.04 kcal/mol of atoms
# * E_form: -1.51 eV/f.u.
# * calculated total energy: -32.32 eV per cell
# * volume: 12.5 A^3/atom


7.
# PBE Cr3TcP, relaxed
data_Cr3TcP
_space_group_name_H-M_alt 'P 1'
_space_group_IT_number 1
_space_group_name_Hall 'P 1'
_cell_length_a 4.628
_cell_length_b 4.628
_cell_length_c 4.628
_cell_angle_alpha 90.00
_cell_angle_beta 90.00
_cell_angle_gamma 90.00
loop_
_atom_site_label
_atom_site_fract_x
_atom_site_fract_y
_atom_site_fract_z
Cr1 0.000 0.000 0.500
Cr2 0.000 0.500 0.000
Cr3 0.500 0.000 0.000
Tc1 0.000 0.000 0.000
P1 0.500 0.500 0.500
# * excess energy over the best structure of this formula in the dataset: 16.94 kcal/mol of atoms
# * E_form: 6.96 eV/f.u.
# * calculated total energy: -37.69 eV per cell
# * volume: 19.8 A^3/atom


8.
# PBE CrTc2P, relaxed
data_CrTc2P
_space_group_name_H-M_alt 'P 1'
_space_group_IT_number 1
_space_group_name_Hall 'P 1'
_cell_length_a 2.821
_cell_length_b 3.715
_cell_length_c 5.329
_cell_angle_alpha 90.00
_cell_angle_beta 102.57
_cell_angle_gamma 90.00
loop_
_atom_site_label
_atom_site_fract_x
_atom_site_fract_y
_atom_site_fract_z
Cr1 0.000 0.000 0.000
Tc1 0.368 0.500 0.734
Tc2 0.632 0.500 0.266
P1 0.000 0.000 0.500
# * E_form: -0.14 eV/f.u.
# * calculated total energy: -35.91 eV per cell
# * volume: 13.6 A^3/atom


9.
# PBE CrTcP2, relaxed
data_CrTcP2
_space_group_name_H-M_alt 'P 1'
_space_group_IT_number 1
_space_group_name_Hall 'P 1'
_cell_length_a 4.098
_cell_length_b 4.098
_cell_length_c 4.098
_cell_angle_alpha 60.00
_cell_angle_beta 60.00
_cell_angle_gamma 60.00
loop_
_atom_site_label
_atom_site_fract_x
_atom_site_fract_y
_atom_site_fract_z
Cr1 0.000 0.000 0.000
Tc1 0.500 0.500 0.500
P1 0.250 0.250 0.250
P2 0.750 0.750 0.750
# * excess energy over the best structure of this formula in the dataset: 4.68 kcal/mol of atoms
# * E_form: -1.23 eV/f.u.
# * calculated total energy: -32.03 eV per cell
# * volume: 12.2 A^3/atom


10.
# PBE CrTc2P, relaxed
data_CrTc2P
_space_group_name_H-M_alt 'P 1'
_space_group_IT_number 1
_space_group_name_Hall 'P 1'
_cell_length_a 8.035
_cell_length_b 8.035
_cell_length_c 8.035
_cell_angle_alpha 20.11
_cell_angle_beta 20.11
_cell_angle_gamma 20.11
loop_
_atom_site_label
_atom_site_fract_x
_atom_site_fract_y
_atom_site_fract_z
Cr1 0.000 0.000 0.000
Tc1 0.247 0.247 0.247
Tc2 0.753 0.753 0.753
P1 0.500 0.500 0.500
# * E_form: 0.13 eV/f.u.
# * calculated total energy: -35.63 eV per cell
# * volume: 13.4 A^3/atom


11.
# PBE Cr4TcP, relaxed
data_Cr4TcP
_space_group_name_H-M_alt 'P 1'
_space_group_IT_number 1
_space_group_name_Hall 'P 1'
_cell_length_a 4.706
_cell_length_b 4.706
_cell_length_c 4.706
_cell_angle_alpha 60.00
_cell_angle_beta 60.00
_cell_angle_gamma 60.00
loop_
_atom_site_label
_atom_site_fract_x
_atom_site_fract_y
_atom_site_fract_z
Cr1 0.377 0.377 0.377
Cr2 0.377 0.377 0.868
Cr3 0.377 0.868 0.377
Cr4 0.868 0.377 0.377
Tc1 0.000 0.000 0.000
P1 0.750 0.750 0.750
# * E_form: 1.46 eV/f.u.
# * calculated total energy: -52.81 eV per cell
# * volume: 12.3 A^3/atom


12.
# PBE CrTcP2, relaxed
data_CrTcP2
_space_group_name_H-M_alt 'P 1'
_space_group_IT_number 1
_space_group_name_Hall 'P 1'
_cell_length_a 3.054
_cell_length_b 3.054
_cell_length_c 5.392
_cell_angle_alpha 90.00
_cell_angle_beta 90.00
_cell_angle_gamma 90.00
loop_
_atom_site_label
_atom_site_fract_x
_atom_site_fract_y
_atom_site_fract_z
Cr1 0.000 0.000 0.000
Tc1 0.500 0.500 0.637
P1 0.000 0.000 0.442
P2 0.500 0.500 0.155
# * excess energy over the best structure of this formula in the dataset: 2.96 kcal/mol of atoms
# * E_form: -1.52 eV/f.u.
# * calculated total energy: -32.33 eV per cell
# * volume: 12.6 A^3/atom


13.
# PBE CrTc2P, relaxed
data_CrTc2P
_space_group_name_H-M_alt 'P 1'
_space_group_IT_number 1
_space_group_name_Hall 'P 1'
_cell_length_a 2.817
_cell_length_b 3.900
_cell_length_c 4.822
_cell_angle_alpha 90.00
_cell_angle_beta 90.10
_cell_angle_gamma 90.00
loop_
_atom_site_label
_atom_site_fract_x
_atom_site_fract_y
_atom_site_fract_z
Cr1 0.000 0.000 0.000
Tc1 0.499 0.500 0.762
Tc2 0.998 0.000 0.470
P1 0.498 0.500 0.250
# * E_form: -0.35 eV/f.u.
# * calculated total energy: -36.12 eV per cell
# * volume: 13.2 A^3/atom


14.
# PBE CrTcP2, relaxed
data_CrTcP2
_space_group_name_H-M_alt 'P 1'
_space_group_IT_number 1
_space_group_name_Hall 'P 1'
_cell_length_a 4.208
_cell_length_b 4.208
_cell_length_c 4.208
_cell_angle_alpha 60.00
_cell_angle_beta 60.00
_cell_angle_gamma 60.00
loop_
_atom_site_label
_atom_site_fract_x
_atom_site_fract_y
_atom_site_fract_z
Cr1 0.000 0.000 0.000
Tc1 0.250 0.250 0.250
P1 0.500 0.500 0.500
P2 0.750 0.750 0.750
# * excess energy over the best structure of this formula in the dataset: 18.38 kcal/mol of atoms
# * E_form: 1.15 eV/f.u.
# * calculated total energy: -29.66 eV per cell
# * volume: 13.2 A^3/atom


15.
# PBE CrTcP4, relaxed
data_CrTcP4
_space_group_name_H-M_alt 'P 1'
_space_group_IT_number 1
_space_group_name_Hall 'P 1'
_cell_length_a 4.901
_cell_length_b 4.901
_cell_length_c 4.901
_cell_angle_alpha 60.00
_cell_angle_beta 60.00
_cell_angle_gamma 60.00
loop_
_atom_site_label
_atom_site_fract_x
_atom_site_fract_y
_atom_site_fract_z
Cr1 0.000 0.000 0.000
Tc1 0.250 0.250 0.250
P1 0.126 0.625 0.625
P2 0.625 0.126 0.625
P3 0.625 0.625 0.126
P4 0.625 0.625 0.625
# * E_form: 4.36 eV/f.u.
# * calculated total energy: -37.26 eV per cell
# * volume: 13.9 A^3/atom


16.
# PBE CrTcP2, relaxed
data_CrTcP2
_space_group_name_H-M_alt 'P 1'
_space_group_IT_number 1
_space_group_name_Hall 'P 1'
_cell_length_a 2.859
_cell_length_b 2.859
_cell_length_c 7.385
_cell_angle_alpha 90.00
_cell_angle_beta 90.00
_cell_angle_gamma 118.44
loop_
_atom_site_label
_atom_site_fract_x
_atom_site_fract_y
_atom_site_fract_z
Cr1 0.000 0.000 0.000
Tc1 0.000 0.000 0.500
P1 0.500 0.500 0.240
P2 0.500 0.500 0.760
# * excess energy over the best structure of this formula in the dataset: 13.61 kcal/mol of atoms
# * E_form: 0.32 eV/f.u.
# * calculated total energy: -30.49 eV per cell
# * volume: 13.3 A^3/atom


17.
# PBE CrTc2P, relaxed
data_CrTc2P
_space_group_name_H-M_alt 'P 1'
_space_group_IT_number 1
_space_group_name_Hall 'P 1'
_cell_length_a 8.136
_cell_length_b 8.136
_cell_length_c 8.136
_cell_angle_alpha 19.64
_cell_angle_beta 19.64
_cell_angle_gamma 19.64
loop_
_atom_site_label
_atom_site_fract_x
_atom_site_fract_y
_atom_site_fract_z
Cr1 0.000 0.000 0.000
Tc1 0.248 0.248 0.248
Tc2 0.488 0.488 0.488
P1 0.741 0.741 0.741
# * E_form: 0.04 eV/f.u.
# * calculated total energy: -35.72 eV per cell
# * volume: 13.3 A^3/atom


18.
# PBE CrTcP2, relaxed
data_CrTcP2
_space_group_name_H-M_alt 'P 1'
_space_group_IT_number 1
_space_group_name_Hall 'P 1'
_cell_length_a 5.985
_cell_length_b 5.985
_cell_length_c 5.985
_cell_angle_alpha 150.29
_cell_angle_beta 150.28
_cell_angle_gamma 42.53
loop_
_atom_site_label
_atom_site_fract_x
_atom_site_fract_y
_atom_site_fract_z
Cr1 0.000 0.000 0.000
Tc1 0.750 0.250 0.500
P1 0.157 0.657 0.500
P2 0.420 0.420 0.000
# * excess energy over the best structure of this formula in the dataset: 0.00 kcal/mol of atoms
# * E_form: -2.04 eV/f.u.
# * calculated total energy: -32.85 eV per cell
# * volume: 13.1 A^3/atom


19.
# PBE CrTcP2, relaxed
data_CrTcP2
_space_group_name_H-M_alt 'P 1'
_space_group_IT_number 1
_space_group_name_Hall 'P 1'
_cell_length_a 2.895
_cell_length_b 2.895
_cell_length_c 5.772
_cell_angle_alpha 90.00
_cell_angle_beta 90.00
_cell_angle_gamma 90.00
loop_
_atom_site_label
_atom_site_fract_x
_atom_site_fract_y
_atom_site_fract_z
Cr1 0.000 0.000 0.000
Tc1 0.000 0.000 0.500
P1 0.500 0.500 0.237
P2 0.500 0.500 0.763
# * excess energy over the best structure of this formula in the dataset: 4.56 kcal/mol of atoms
# * E_form: -1.25 eV/f.u.
# * calculated total energy: -32.06 eV per cell
# * volume: 12.1 A^3/atom


20.
# PBE CrTcP2, relaxed
data_CrTcP2
_space_group_name_H-M_alt 'P 1'
_space_group_IT_number 1
_space_group_name_Hall 'P 1'
_cell_length_a 6.999
_cell_length_b 6.999
_cell_length_c 6.999
_cell_angle_alpha 139.80
_cell_angle_beta 139.80
_cell_angle_gamma 58.15
loop_
_atom_site_label
_atom_site_fract_x
_atom_site_fract_y
_atom_site_fract_z
Cr1 0.000 0.000 0.000
Cr2 0.750 0.250 0.500
Tc1 0.250 0.750 0.500
Tc2 0.500 0.500 0.000
P1 0.127 0.625 0.002
P2 0.375 0.377 0.502
P3 0.623 0.125 0.998
P4 0.875 0.873 0.498
# * excess energy over the best structure of this formula in the dataset: 12.81 kcal/mol of atoms
# * E_form: 0.18 eV/f.u.
# * calculated total energy: -61.25 eV per cell
# * volume: 17.7 A^3/atom